Record 1
Crystalline YTl5 at its relaxed geometry, computed with PBE.

Cell lengths 7.6697, 7.6697, 5.0238 Å; angles 90.00, 90.00, 144.50 degrees
With the nearest neighbours (Å) after each atom.
Positions (direct):
Tl 0.6402 0.3598 0.0000  10 Tl 3.35-3.51, 2 Y 3.39
Y 0.9722 0.0278 0.0000  12 Tl 3.39-3.50
Tl 0.3043 0.6957 0.0000  10 Tl 3.35-3.51, 2 Y 3.39
Tl 0.8056 0.1944 0.5000  10 Tl 3.37-3.49, 2 Y 3.50
Tl 0.4722 0.5278 0.5000  8 Tl 3.37-3.51, 4 Y 3.43
Tl 0.1388 0.8612 0.5000  10 Tl 3.38-3.49, 2 Y 3.50

Values from the calculation:
As for the space-group type: Cmmm. The energy of formation from the pure elements comes out at -72 meV/atom.

Record 2
Crystalline Y3Tl at its relaxed geometry, computed with PBE.

Cell lengths 6.4294, 6.4294, 6.4294 Å; angles 116.89, 116.89, 116.89 degrees
With the nearest neighbours (Å) after each atom.
Positions (direct):
Y 0.5000 0.0000 0.5000  6 Y 3.36-3.44, 2 Tl 3.36
Tl 0.0000 0.0000 0.0000  6 Y 3.36, 2 Tl 3.44
Y 0.0000 0.5000 0.5000  2 Tl 3.36, 6 Y 3.36-3.44
Y 0.5000 0.5000 0.0000  6 Y 3.36-3.44, 2 Tl 3.36

Values from the calculation:
As for the space-group type: R-3m. The energy of formation from the pure elements comes out at -71 meV/atom.

Record 3
Crystalline YTl5 at its relaxed geometry, computed with PBE.

Cell lengths 6.5439, 6.5439, 7.8994 Å; angles 73.98, 73.98, 32.77 degrees
With the nearest neighbours (Å) after each atom.
Positions (direct):
Y 0.2800 0.2800 0.9405  10 Tl 3.32-3.52, 2 Y 3.69
Tl 0.3235 0.3235 0.3471  11 Tl 3.37-3.69, 1 Y 3.41
Tl 0.6684 0.6684 0.6861  2 Y 3.32, 10 Tl 3.37-3.69
Tl 0.9575 0.9575 0.5931  10 Tl 3.33-3.69, 2 Y 3.52
Tl 0.6124 0.6124 0.2631  10 Tl 3.33-3.69, 2 Y 3.35
Tl 0.9916 0.9916 0.0032  9 Tl 3.38-3.69, 3 Y 3.39-3.51

Values from the calculation:
As for the space-group type: Cm. The energy of formation from the pure elements comes out at -63 meV/atom.

Record 4
Crystalline Y3Tl at its relaxed geometry, computed with PBE.

Cell lengths 5.3145, 6.8398, 6.7529 Å; angles 102.38, 90.00, 90.00 degrees
With the nearest neighbours (Å) after each atom.
Positions (direct):
Y 0.2500 0.0767 0.8278  3 Tl 3.33-3.36, 8 Y 3.44-3.67
Tl 0.7500 0.2517 0.6153  7 Y 3.14-3.36
Y 0.2500 0.2692 0.3666  3 Tl 3.16-3.25, 2 Y 3.49
Y 0.7500 0.9233 0.1722  3 Tl 3.33-3.36, 8 Y 3.44-3.67
Y 0.7500 0.7308 0.6334  3 Tl 3.16-3.25, 2 Y 3.49
Tl 0.2500 0.7483 0.3847  7 Y 3.14-3.36
Y 0.7500 0.4023 0.0882  1 Tl 3.14, 6 Y 3.31-3.49
Y 0.2500 0.5977 0.9118  1 Tl 3.14, 6 Y 3.31-3.49

Values from the calculation:
As for the space-group type: P2_1/m. The energy of formation from the pure elements comes out at -215 meV/atom.